# 1
Density functional theory data (GGA-PBE) for a relaxed structure of Ti4AlS8.

```
data_Ti4AlS8
_chemical_formula_sum 'Ti4 Al1 S8'
_symmetry_space_group_name_H-M 'P 1'
_symmetry_Int_Tables_number 1
_cell_length_a 7.211
_cell_length_b 7.211
_cell_length_c 7.211
_cell_angle_alpha 56.02
_cell_angle_beta 56.02
_cell_angle_gamma 56.02
loop_
_symmetry_equiv_pos_as_xyz
'x,y,z'
loop_
_atom_site_label
_atom_site_type_symbol
_atom_site_fract_x
_atom_site_fract_y
_atom_site_fract_z
Ti1 Ti 0.500 0.500 0.000
Ti2 Ti 0.000 0.000 0.000
Ti3 Ti 0.000 0.500 0.500
Ti4 Ti 0.500 0.000 0.500
S1 S 0.255 0.255 0.255
S2 S 0.748 0.256 0.748
S3 S 0.745 0.745 0.745
S4 S 0.748 0.748 0.256
S5 S 0.252 0.252 0.744
S6 S 0.256 0.748 0.748
S7 S 0.252 0.744 0.252
S8 S 0.744 0.252 0.252
Al1 Al 0.500 0.500 0.500
```

Values from the calculation:
SG = No. 166
DOS at the Fermi energy = 0.37 states/eV/atom



# 2
Density functional theory data (GGA-PBE) for a relaxed structure of HfTl2GaSe5.

```
data_HfTl2GaSe5
_chemical_formula_sum 'Hf2 Tl4 Ga2 Se10'
_symmetry_space_group_name_H-M 'P 1'
_symmetry_Int_Tables_number 1
_cell_length_a 3.871
_cell_length_b 9.627
_cell_length_c 13.671
_cell_angle_alpha 90.00
_cell_angle_beta 90.00
_cell_angle_gamma 101.60
loop_
_symmetry_equiv_pos_as_xyz
'x,y,z'
loop_
_atom_site_label
_atom_site_type_symbol
_atom_site_fract_x
_atom_site_fract_y
_atom_site_fract_z
Tl1 Tl 0.120 0.239 0.671
Tl2 Tl 0.880 0.761 0.171
Tl3 Tl 0.122 0.243 0.329
Tl4 Tl 0.878 0.757 0.829
Se1 Se 0.294 0.587 0.663
Se2 Se 0.706 0.413 0.163
Se3 Se 0.660 0.320 0.498
Se4 Se 0.311 0.623 0.389
Se5 Se 0.495 0.991 0.778
Se6 Se 0.052 0.103 0.039
Se7 Se 0.689 0.377 0.889
Se8 Se 0.340 0.680 0.998
Se9 Se 0.948 0.897 0.539
Se10 Se 0.505 0.009 0.278
Ga1 Ga 0.439 0.879 0.428
Ga2 Ga 0.561 0.121 0.928
Hf1 Hf 0.796 0.591 0.530
Hf2 Hf 0.204 0.409 0.030
```

Values from the calculation:
SG = No. 36
DOS at the Fermi energy = 0.41 states/eV/atom



# 3
Density functional theory data (GGA-PBE) for a relaxed structure of HgIr2Cl.

```
data_HgIr2Cl
_chemical_formula_sum 'Hg1 Ir2 Cl1'
_symmetry_space_group_name_H-M 'P 1'
_symmetry_Int_Tables_number 1
_cell_length_a 4.106
_cell_length_b 4.106
_cell_length_c 7.829
_cell_angle_alpha 76.24
_cell_angle_beta 76.24
_cell_angle_gamma 41.03
loop_
_symmetry_equiv_pos_as_xyz
'x,y,z'
loop_
_atom_site_label
_atom_site_type_symbol
_atom_site_fract_x
_atom_site_fract_y
_atom_site_fract_z
Ir1 Ir 0.783 0.783 0.794
Ir2 Ir 0.025 0.025 0.953
Hg1 Hg 0.248 0.248 0.211
Cl1 Cl 0.444 0.444 0.542
```

Values from the calculation:
SG = No. 8
DOS at the Fermi energy = 1.16 states/eV/atom



# 4
Density functional theory data (GGA-PBE) for a relaxed structure of Tb2Dy2Th15.

```
data_Tb2Dy2Th15
_chemical_formula_sum 'Tb2 Dy2 Th15'
_symmetry_space_group_name_H-M 'P 1'
_symmetry_Int_Tables_number 1
_cell_length_a 8.756
_cell_length_b 8.756
_cell_length_c 8.756
_cell_angle_alpha 81.10
_cell_angle_beta 81.10
_cell_angle_gamma 81.10
loop_
_symmetry_equiv_pos_as_xyz
'x,y,z'
loop_
_atom_site_label
_atom_site_type_symbol
_atom_site_fract_x
_atom_site_fract_y
_atom_site_fract_z
Th1 Th 0.000 0.500 0.000
Th2 Th 0.500 0.000 0.000
Th3 Th 0.157 0.642 0.642
Th4 Th 0.302 0.000 0.698
Th5 Th 0.358 0.843 0.358
Th6 Th 0.302 0.698 0.000
Th7 Th 0.000 0.302 0.698
Th8 Th 0.000 0.698 0.302
Th9 Th 0.843 0.358 0.358
Th10 Th 0.642 0.157 0.642
Th11 Th 0.642 0.642 0.157
Th12 Th 0.698 0.000 0.302
Th13 Th 0.000 0.000 0.500
Th14 Th 0.698 0.302 0.000
Th15 Th 0.358 0.358 0.843
Tb1 Tb 0.902 0.902 0.902
Tb2 Tb 0.098 0.098 0.098
Dy1 Dy 0.686 0.686 0.686
Dy2 Dy 0.314 0.314 0.314
```

Values from the calculation:
formation energy = 5.68 eV/f.u.
SG = No. 166
DOS at the Fermi energy = 2.05 states/eV/atom



# 5
Density functional theory data (GGA-PBE) for a relaxed structure of CeZnCuRu.

```
data_CeZnCuRu
_chemical_formula_sum 'Ce1 Zn1 Cu1 Ru1'
_symmetry_space_group_name_H-M 'P 1'
_symmetry_Int_Tables_number 1
_cell_length_a 4.624
_cell_length_b 4.624
_cell_length_c 4.624
_cell_angle_alpha 60.00
_cell_angle_beta 60.00
_cell_angle_gamma 60.00
loop_
_symmetry_equiv_pos_as_xyz
'x,y,z'
loop_
_atom_site_label
_atom_site_type_symbol
_atom_site_fract_x
_atom_site_fract_y
_atom_site_fract_z
Ru1 Ru 0.750 0.750 0.750
Ce1 Ce 0.500 0.500 0.500
Cu1 Cu 0.250 0.250 0.250
Zn1 Zn 0.000 0.000 0.000
```

Values from the calculation:
formation energy = -0.32 eV/f.u.
SG = No. 216
DOS at the Fermi energy = 0.92 states/eV/atom



# 6
Density functional theory data (GGA-PBE) for a relaxed structure of Er4HPb3.

```
data_Er4HPb3
_chemical_formula_sum 'Er8 H2 Pb6'
_symmetry_space_group_name_H-M 'P 1'
_symmetry_Int_Tables_number 1
_cell_length_a 6.296
_cell_length_b 6.065
_cell_length_c 10.814
_cell_angle_alpha 90.00
_cell_angle_beta 90.00
_cell_angle_gamma 90.00
loop_
_symmetry_equiv_pos_as_xyz
'x,y,z'
loop_
_atom_site_label
_atom_site_type_symbol
_atom_site_fract_x
_atom_site_fract_y
_atom_site_fract_z
Er1 Er 0.413 0.397 0.500
Er2 Er 0.913 0.603 0.000
Er3 Er 0.131 0.150 0.168
Er4 Er 0.131 0.150 0.832
Er5 Er 0.656 0.087 0.000
Er6 Er 0.156 0.913 0.500
Er7 Er 0.631 0.850 0.668
Er8 Er 0.631 0.850 0.332
Pb1 Pb 0.145 0.653 0.737
Pb2 Pb 0.413 0.626 0.000
Pb3 Pb 0.913 0.374 0.500
Pb4 Pb 0.645 0.347 0.763
Pb5 Pb 0.145 0.653 0.263
Pb6 Pb 0.645 0.347 0.237
H1 H 0.483 0.025 0.500
H2 H 0.983 0.975 0.000
```

Values from the calculation:
SG = No. 31
DOS at the Fermi energy = 0.76 states/eV/atom



# 7
Density functional theory data (GGA-PBE) for a relaxed structure of LiMg6Ga2.

```
data_LiMg6Ga2
_chemical_formula_sum 'Li1 Mg6 Ga2'
_symmetry_space_group_name_H-M 'P 1'
_symmetry_Int_Tables_number 1
_cell_length_a 3.513
_cell_length_b 8.289
_cell_length_c 8.289
_cell_angle_alpha 127.11
_cell_angle_beta 83.62
_cell_angle_gamma 83.62
loop_
_symmetry_equiv_pos_as_xyz
'x,y,z'
loop_
_atom_site_label
_atom_site_type_symbol
_atom_site_fract_x
_atom_site_fract_y
_atom_site_fract_z
Mg1 Mg 0.810 0.486 0.153
Mg2 Mg 0.672 0.677 0.677
Mg3 Mg 0.190 0.514 0.847
Mg4 Mg 0.190 0.847 0.514
Mg5 Mg 0.328 0.323 0.323
Mg6 Mg 0.810 0.153 0.486
Ga1 Ga 0.500 0.153 0.847
Ga2 Ga 0.500 0.847 0.153
Li1 Li 0.000 0.000 0.000
```

Values from the calculation:
formation energy = -0.47 eV/f.u.
SG = No. 12
DOS at the Fermi energy = 0.36 states/eV/atom



# 8
Density functional theory data (GGA-PBE) for a relaxed structure of NiHgRh2.

```
data_NiHgRh2
_chemical_formula_sum 'Ni1 Hg1 Rh2'
_symmetry_space_group_name_H-M 'P 1'
_symmetry_Int_Tables_number 1
_cell_length_a 2.858
_cell_length_b 4.604
_cell_length_c 4.645
_cell_angle_alpha 90.00
_cell_angle_beta 90.00
_cell_angle_gamma 90.00
loop_
_symmetry_equiv_pos_as_xyz
'x,y,z'
loop_
_atom_site_label
_atom_site_type_symbol
_atom_site_fract_x
_atom_site_fract_y
_atom_site_fract_z
Hg1 Hg 0.500 0.000 0.500
Rh1 Rh 0.000 0.000 0.000
Rh2 Rh 0.500 0.500 0.000
Ni1 Ni 0.000 0.500 0.500
```

Values from the calculation:
formation energy = 1.25 eV/f.u.
SG = No. 47
DOS at the Fermi energy = 1.77 states/eV/atom



# 9
Density functional theory data (GGA-PBE) for a relaxed structure of KTh2P3O12.

```
data_KTh2P3O12
_chemical_formula_sum 'K2 Th4 P6 O24'
_symmetry_space_group_name_H-M 'P 1'
_symmetry_Int_Tables_number 1
_cell_length_a 9.570
_cell_length_b 9.570
_cell_length_c 8.237
_cell_angle_alpha 78.75
_cell_angle_beta 78.75
_cell_angle_gamma 42.32
loop_
_symmetry_equiv_pos_as_xyz
'x,y,z'
loop_
_atom_site_label
_atom_site_type_symbol
_atom_site_fract_x
_atom_site_fract_y
_atom_site_fract_z
O1 O 0.088 0.602 0.072
O2 O 0.826 0.726 0.830
O3 O 0.897 0.960 0.244
O4 O 0.398 0.912 0.428
O5 O 0.144 0.448 0.372
O6 O 0.193 0.753 0.408
O7 O 0.247 0.807 0.092
O8 O 0.602 0.088 0.572
O9 O 0.807 0.247 0.592
O10 O 0.960 0.897 0.744
O11 O 0.856 0.552 0.628
O12 O 0.274 0.174 0.670
O13 O 0.548 0.737 0.846
O14 O 0.103 0.040 0.756
O15 O 0.174 0.274 0.170
O16 O 0.912 0.398 0.928
O17 O 0.448 0.144 0.872
O18 O 0.552 0.856 0.128
O19 O 0.737 0.548 0.346
O20 O 0.753 0.193 0.908
O21 O 0.726 0.826 0.330
O22 O 0.040 0.103 0.256
O23 O 0.263 0.452 0.654
O24 O 0.452 0.263 0.154
Th1 Th 0.940 0.752 0.534
Th2 Th 0.752 0.940 0.034
Th3 Th 0.060 0.248 0.466
Th4 Th 0.248 0.060 0.966
P1 P 0.601 0.781 0.316
P2 P 0.781 0.601 0.816
P3 P 0.098 0.902 0.250
P4 P 0.219 0.399 0.184
P5 P 0.399 0.219 0.684
P6 P 0.902 0.098 0.750
K1 K 0.597 0.403 0.250
K2 K 0.403 0.597 0.750
```

Values from the calculation:
SG = No. 15
DOS at the Fermi energy = 0.00 states/eV/atom



# 10
Density functional theory data (GGA-PBE) for a relaxed structure of RbBiCl5.

```
data_RbBiCl5
_chemical_formula_sum 'Rb2 Bi2 Cl10'
_symmetry_space_group_name_H-M 'P 1'
_symmetry_Int_Tables_number 1
_cell_length_a 7.556
_cell_length_b 7.556
_cell_length_c 10.757
_cell_angle_alpha 69.65
_cell_angle_beta 69.65
_cell_angle_gamma 67.87
loop_
_symmetry_equiv_pos_as_xyz
'x,y,z'
loop_
_atom_site_label
_atom_site_type_symbol
_atom_site_fract_x
_atom_site_fract_y
_atom_site_fract_z
Rb1 Rb 0.476 0.524 0.750
Rb2 Rb 0.524 0.476 0.250
Cl1 Cl 0.929 0.664 0.116
Cl2 Cl 0.336 0.071 0.384
Cl3 Cl 0.664 0.929 0.616
Cl4 Cl 0.071 0.336 0.884
Cl5 Cl 0.375 0.815 0.976
Cl6 Cl 0.815 0.375 0.476
Cl7 Cl 0.185 0.625 0.524
Cl8 Cl 0.947 0.053 0.250
Cl9 Cl 0.053 0.947 0.750
Cl10 Cl 0.625 0.185 0.024
Bi1 Bi 0.000 0.000 0.500
Bi2 Bi 0.000 0.000 0.000
```

Values from the calculation:
SG = No. 15
DOS at the Fermi energy = 0.57 states/eV/atom



It is found that the uncorrected energy values, taken in the order of the records, are -6.526, -4.630, -4.510, -6.531, -5.224, -4.444, -2.000, -4.885, -7.990, -3.056 eV per atom.